# BaY2C

BaY2C after structural relaxation (PBE, Alexandria).

As for the space group: R-3m. For the formation energy from the elements, the calculation gives -57 meV/atom.

Unit cell a=10.480 b=10.480 c=10.480 alpha=20.08 beta=20.08 gamma=20.08
Fractional positions:
1 Ba 0.000 0.000 0.000
2 Y 0.123 0.123 0.123
3 Y 0.877 0.877 0.877
4 C 0.500 0.500 0.500